Entry 1:
An optimized crystal structure of Ac3Er2In3, computed with GGA-PBE. Values from VASP.

```
&SYSTEM
  ibrav = 0, nat = 8, ntyp = 3
/
ATOMIC_SPECIES
Ac 227.00 Ac.upf
Er 167.26 Er.upf
In 114.82 In.upf
ATOMIC_POSITIONS crystal
Ac 0.000 0.000 0.000
Ac 0.376 0.876 0.500
Ac 0.624 0.124 0.500
Er 0.236 0.236 0.000
Er 0.764 0.764 0.000
In 0.130 0.630 0.500
In 0.500 0.500 0.000
In 0.870 0.370 0.500
CELL_PARAMETERS angstrom
-1.999 2.873 11.740
1.999 -2.873 11.740
1.999 2.873 -11.740
```

Output
Final energy (eV per atom): -4.01
Formation energy from the elements (meV/atom): -297
Total moment (μB per formula unit): 0.0

Entry 2:
An optimized crystal structure of SnTePbSe, computed with GGA-PBE. Values from VASP.

```
&SYSTEM
  ibrav = 0, nat = 4, ntyp = 4
/
ATOMIC_SPECIES
Sn 118.71 Sn.upf
Te 127.60 Te.upf
Pb 207.20 Pb.upf
Se 78.96 Se.upf
ATOMIC_POSITIONS crystal
Sn 0.000 0.000 0.000
Te 0.000 0.000 0.500
Pb 0.500 0.500 0.500
Se 0.500 0.500 0.000
CELL_PARAMETERS angstrom
4.484 0.000 0.000
0.000 4.484 0.000
0.000 0.000 6.304
```

Output
Final energy (eV per atom): -3.96
E_form (uncorrected) (eV per atom): -0.377
Energy above the lowest structure with this stoichiometry (kcal/mol of atoms): 0.87
Total moment (μB per formula unit): 0.0

Entry 3:
An optimized crystal structure of ReAg2, computed with GGA-PBE. Values from VASP.

```
&SYSTEM
  ibrav = 0, nat = 6, ntyp = 2
/
ATOMIC_SPECIES
Re 186.21 Re.upf
Ag 107.87 Ag.upf
ATOMIC_POSITIONS crystal
Re 0.333 0.667 0.250
Re 0.667 0.333 0.750
Ag 0.000 0.000 0.000
Ag 0.000 0.000 0.500
Ag 0.333 0.667 0.750
Ag 0.667 0.333 0.250
CELL_PARAMETERS angstrom
4.627 0.000 0.000
-2.313 4.007 0.000
0.000 0.000 5.561
```

Output
Final energy (eV per atom): -4.81
Formation energy from the elements (meV/atom): 1237
Energy above the lowest structure with this stoichiometry (kcal/mol of atoms): 18.91
Total moment (μB per formula unit): 1.8